K2NdAs2S6: relaxed, PBE.

Properties
Formation energy without anion corrections, eV per atom: -0.83
Symmetry: C2/m, No. 12

```
K2NdAs2S6
1.0
5.965 -3.601 0.000
5.965 3.601 0.000
-4.001 0.000 7.466
K Nd As S
2 1 2 6
Direct
0.201 0.201 0.179
0.799 0.799 0.821
0.000 0.000 0.500
0.456 0.456 0.812
0.544 0.544 0.188
0.190 0.692 0.207
0.256 0.256 0.591
0.308 0.810 0.793
0.692 0.190 0.207
0.744 0.744 0.409
0.810 0.308 0.793
```